! Tc2OsBr, relaxed, DFT PBE; values from VASP
&SYSTEM
  ibrav = 0, nat = 4, ntyp = 3
/
ATOMIC_SPECIES
Os 190.23 Os.upf
Tc 98.00 Tc.upf
Br 79.90 Br.upf
ATOMIC_POSITIONS crystal
Os 0.000 0.500 0.500
Tc 0.500 0.500 0.000
Tc 0.000 0.000 0.000
Br 0.500 0.000 0.500
CELL_PARAMETERS angstrom
-0.411 3.757 2.639
-4.496 -0.864 0.535
0.584 -1.585 2.347
! - raw formation energy (meV/atom) = 905
! - theoretical density (g/cm3) = 12.60
! - crystal system = tetragonal
! - Fermi-level density of states (states/eV/atom) = 0.982

=====

! Tc2OsBr, relaxed, DFT PBE; values from VASP
&SYSTEM
  ibrav = 0, nat = 4, ntyp = 3
/
ATOMIC_SPECIES
Tc 98.00 Tc.upf
Br 79.90 Br.upf
Os 190.23 Os.upf
ATOMIC_POSITIONS crystal
Tc 0.000 0.000 0.000
Tc 0.251 0.251 0.251
Br 0.507 0.507 0.507
Os 0.743 0.743 0.743
CELL_PARAMETERS angstrom
-6.045 2.695 -6.182
-5.943 -0.094 -6.834
-7.672 0.826 -4.742
! - raw formation energy (meV/atom) = 600
! - theoretical density (g/cm3) = 12.22
! - crystal system = trigonal
! - Fermi-level density of states (states/eV/atom) = 0.800

=====

! TcOsBr, relaxed, DFT PBE; values from VASP
&SYSTEM
  ibrav = 0, nat = 3, ntyp = 3
/
ATOMIC_SPECIES
Br 79.90 Br.upf
Tc 98.00 Tc.upf
Os 190.23 Os.upf
ATOMIC_POSITIONS crystal
Br 0.000 0.000 0.000
Tc 0.750 0.750 0.750
Os 0.500 0.500 0.500
CELL_PARAMETERS angstrom
-0.014 -3.820 1.929
3.697 -1.871 1.068
1.124 -0.322 4.116
! - raw formation energy (meV/atom) = 1176
! - theoretical density (g/cm3) = 11.03
! - crystal system = cubic
! - Fermi-level density of states (states/eV/atom) = 1.285

=====

! TcOsBr4, relaxed, DFT PBE; values from VASP
&SYSTEM
  ibrav = 0, nat = 6, ntyp = 3
/
ATOMIC_SPECIES
Br 79.90 Br.upf
Os 190.23 Os.upf
Tc 98.00 Tc.upf
ATOMIC_POSITIONS crystal
Br 0.873 0.376 0.376
Br 0.376 0.376 0.873
Br 0.376 0.873 0.376
Br 0.376 0.376 0.376
Os 0.750 0.750 0.750
Tc 0.000 0.000 0.000
CELL_PARAMETERS angstrom
0.000 4.263 4.263
4.263 0.000 4.263
4.263 4.263 0.000
! - raw formation energy (meV/atom) = 2076
! - theoretical density (g/cm3) = 6.51
! - crystal system = cubic
! - Fermi-level density of states (states/eV/atom) = 1.590

=====

! Tc2OsBr, relaxed, DFT PBE; values from VASP
&SYSTEM
  ibrav = 0, nat = 4, ntyp = 3
/
ATOMIC_SPECIES
Os 190.23 Os.upf
Tc 98.00 Tc.upf
Br 79.90 Br.upf
ATOMIC_POSITIONS crystal
Os 0.500 0.500 0.000
Tc 0.500 0.000 0.500
Tc 0.000 0.000 0.000
Br 0.000 0.500 0.500
CELL_PARAMETERS angstrom
-1.374 -2.322 -5.109
4.491 1.735 0.589
1.230 -2.581 -0.522
! - raw formation energy (meV/atom) = 1078
! - theoretical density (g/cm3) = 12.45
! - crystal system = monoclinic
! - Fermi-level density of states (states/eV/atom) = 1.178

=====

! Tc2OsBr, relaxed, DFT PBE; values from VASP
&SYSTEM
  ibrav = 0, nat = 4, ntyp = 3
/
ATOMIC_SPECIES
Tc 98.00 Tc.upf
Os 190.23 Os.upf
Br 79.90 Br.upf
ATOMIC_POSITIONS crystal
Tc 0.000 0.362 0.522
Tc 0.000 0.138 0.978
Os 0.500 0.750 0.750
Br 0.500 0.250 0.250
CELL_PARAMETERS angstrom
4.017 0.000 0.000
0.000 2.895 0.006
0.000 1.506 5.428
! - raw formation energy (meV/atom) = 810
! - theoretical density (g/cm3) = 12.27
! - crystal system = monoclinic
! - Fermi-level density of states (states/eV/atom) = 0.978

=====

! TcOsBr, relaxed, DFT PBE; values from VASP
&SYSTEM
  ibrav = 0, nat = 3, ntyp = 3
/
ATOMIC_SPECIES
Br 79.90 Br.upf
Os 190.23 Os.upf
Tc 98.00 Tc.upf
ATOMIC_POSITIONS crystal
Br 0.011 0.011 0.989
Os 0.315 0.315 0.685
Tc 0.674 0.674 0.326
CELL_PARAMETERS angstrom
7.772 -0.045 0.027
6.985 2.721 0.025
0.787 -1.298 2.443
! - raw formation energy (meV/atom) = 983
! - theoretical density (g/cm3) = 11.67
! - crystal system = orthorhombic
! - Fermi-level density of states (states/eV/atom) = 0.944

=====

! TcOsBr, relaxed, DFT PBE; values from VASP
&SYSTEM
  ibrav = 0, nat = 3, ntyp = 3
/
ATOMIC_SPECIES
Os 190.23 Os.upf
Tc 98.00 Tc.upf
Br 79.90 Br.upf
ATOMIC_POSITIONS crystal
Os 0.311 0.311 0.000
Tc 0.682 0.682 0.000
Br 0.007 0.007 0.000
CELL_PARAMETERS angstrom
-2.094 0.225 -5.737
-4.539 -2.275 -3.403
2.112 2.673 5.074
! - raw formation energy (meV/atom) = 685
! - theoretical density (g/cm3) = 12.05
! - crystal system = tetragonal
! - Fermi-level density of states (states/eV/atom) = 0.767

=====

! TcOs4Br, relaxed, DFT PBE; values from VASP
&SYSTEM
  ibrav = 0, nat = 6, ntyp = 3
/
ATOMIC_SPECIES
Os 190.23 Os.upf
Br 79.90 Br.upf
Tc 98.00 Tc.upf
ATOMIC_POSITIONS crystal
Os 0.874 0.375 0.375
Os 0.375 0.375 0.375
Os 0.375 0.874 0.375
Os 0.375 0.375 0.874
Br 0.000 0.000 0.000
Tc 0.750 0.750 0.750
CELL_PARAMETERS angstrom
-3.842 -1.423 3.189
-4.697 2.164 -0.466
-3.979 -2.798 -1.816
! - raw formation energy (meV/atom) = 1380
! - theoretical density (g/cm3) = 15.75
! - crystal system = cubic
! - Fermi-level density of states (states/eV/atom) = 1.618

=====

! Tc2OsBr, relaxed, DFT PBE; values from VASP
&SYSTEM
  ibrav = 0, nat = 8, ntyp = 3
/
ATOMIC_SPECIES
Tc 98.00 Tc.upf
Os 190.23 Os.upf
Br 79.90 Br.upf
ATOMIC_POSITIONS crystal
Tc 0.875 0.894 0.750
Tc 0.375 0.356 0.750
Tc 0.106 0.625 0.250
Tc 0.644 0.125 0.250
Os 0.750 0.250 0.500
Os 0.000 0.000 0.000
Br 0.500 0.500 0.000
Br 0.250 0.750 0.500
CELL_PARAMETERS angstrom
5.689 0.000 0.000
0.000 5.689 0.000
2.844 2.844 5.499
! - raw formation energy (meV/atom) = 1114
! - theoretical density (g/cm3) = 8.70
! - crystal system = tetragonal
! - Fermi-level density of states (states/eV/atom) = 1.564

=====

! Tc2OsBr, relaxed, DFT PBE; values from VASP
&SYSTEM
  ibrav = 0, nat = 4, ntyp = 3
/
ATOMIC_SPECIES
Os 190.23 Os.upf
Tc 98.00 Tc.upf
Br 79.90 Br.upf
ATOMIC_POSITIONS crystal
Os 0.500 0.500 0.750
Tc 0.000 0.000 0.965
Tc 0.000 0.000 0.535
Br 0.500 0.500 0.250
CELL_PARAMETERS angstrom
2.890 0.000 0.000
0.000 3.307 0.000
0.000 0.000 6.855
! - raw formation energy (meV/atom) = 707
! - theoretical density (g/cm3) = 11.81
! - crystal system = orthorhombic
! - Fermi-level density of states (states/eV/atom) = 1.056

=====

! Tc2OsBr, relaxed, DFT PBE; values from VASP
&SYSTEM
  ibrav = 0, nat = 4, ntyp = 3
/
ATOMIC_SPECIES
Br 79.90 Br.upf
Tc 98.00 Tc.upf
Os 190.23 Os.upf
ATOMIC_POSITIONS crystal
Br 0.000 0.000 0.454
Tc 0.500 0.500 0.215
Tc 0.000 0.000 0.999
Os 0.500 0.500 0.833
CELL_PARAMETERS angstrom
2.878 0.000 0.000
0.000 3.635 0.000
0.000 0.000 6.791
! - raw formation energy (meV/atom) = 821
! - theoretical density (g/cm3) = 10.89
! - crystal system = orthorhombic
! - Fermi-level density of states (states/eV/atom) = 0.975

=====

! TcOsBr, relaxed, DFT PBE; values from VASP
&SYSTEM
  ibrav = 0, nat = 3, ntyp = 3
/
ATOMIC_SPECIES
Br 79.90 Br.upf
Os 190.23 Os.upf
Tc 98.00 Tc.upf
ATOMIC_POSITIONS crystal
Br 0.000 0.000 0.983
Os 0.333 0.667 0.358
Tc 0.667 0.333 0.659
CELL_PARAMETERS angstrom
-2.597 -0.622 -1.191
0.495 -0.595 2.820
-2.192 5.992 1.650
! - raw formation energy (meV/atom) = 666
! - theoretical density (g/cm3) = 12.53
! - crystal system = trigonal
! - Fermi-level density of states (states/eV/atom) = 0.927

=====

! Tc4OsBr, relaxed, DFT PBE; values from VASP
&SYSTEM
  ibrav = 0, nat = 6, ntyp = 3
/
ATOMIC_SPECIES
Br 79.90 Br.upf
Tc 98.00 Tc.upf
Os 190.23 Os.upf
ATOMIC_POSITIONS crystal
Br 0.250 0.250 0.250
Tc 0.625 0.625 0.124
Tc 0.124 0.625 0.625
Tc 0.625 0.625 0.625
Tc 0.625 0.124 0.625
Os 0.000 0.000 0.000
CELL_PARAMETERS angstrom
-1.413 -4.440 2.205
-3.136 0.038 4.091
-4.853 -1.674 -0.457
! - raw formation energy (meV/atom) = 1079
! - theoretical density (g/cm3) = 11.35
! - crystal system = cubic
! - Fermi-level density of states (states/eV/atom) = 1.004

=====

! Tc2OsBr, relaxed, DFT PBE; values from VASP
&SYSTEM
  ibrav = 0, nat = 4, ntyp = 3
/
ATOMIC_SPECIES
Os 190.23 Os.upf
Tc 98.00 Tc.upf
Br 79.90 Br.upf
ATOMIC_POSITIONS crystal
Os 0.750 0.750 0.750
Tc 0.002 0.002 0.002
Tc 0.498 0.498 0.498
Br 0.250 0.250 0.250
CELL_PARAMETERS angstrom
-3.962 0.663 7.790
-5.818 -1.097 6.463
-3.475 -2.177 7.746
! - raw formation energy (meV/atom) = 537
! - theoretical density (g/cm3) = 12.51
! - crystal system = trigonal
! - Fermi-level density of states (states/eV/atom) = 0.716